Entry 1:
Material: Ag2Pt
Method: DFT, PBE
State: relaxed

Cell and atoms, written as extended XYZ:
```
12
Lattice="6.478 0.009 -0.010 0.578 6.452 -0.010 0.730 0.668 4.867" Properties=species:S:1:pos:R:3 pbc="T T T"
Ag 1.969 1.757 1.212
Ag 6.433 3.966 1.202
Ag 3.896 3.587 2.453
Ag 7.185 0.676 4.828
Ag 5.856 1.394 2.394
Ag 2.567 4.305 0.020
Ag 3.319 1.015 3.646
Ag 1.305 3.215 3.646
Pt 1.926 5.712 2.424
Pt 4.511 2.157 -0.010
Pt 4.477 6.102 1.202
Pt 5.853 5.332 3.636
```

Properties
excess energy over the best structure of this formula in the dataset = 38 meV per atom
total DFT energy (no corrections) = -46.689 eV for the cell shown

=====

Entry 2:
Material: PmPr3Th2As6
Method: DFT, PBE
State: relaxed

Cell and atoms, written as extended XYZ:
```
12
Lattice="-1.663 -3.790 -1.096 6.389 -3.979 4.062 -5.674 2.836 7.167" Properties=species:S:1:pos:R:3 pbc="T T T"
Th -0.038 -1.005 3.533
Th -0.909 -3.928 6.599
As 1.487 -3.004 8.132
As 0.682 -3.884 4.034
As -2.435 -1.928 2.001
As 1.566 -0.985 1.029
As -2.513 -3.948 9.103
As -1.630 -1.048 6.098
Pr 3.175 -3.007 5.580
Pr 2.363 -3.884 1.483
Pr -4.122 -1.926 4.553
Pm -0.832 -1.895 -0.548
```

Properties
total DFT energy (no corrections) = -79.766 eV for the cell shown

=====

Entry 3:
Material: In12Sn2Bi7
Method: DFT, PBE
State: relaxed

Cell and atoms, written as extended XYZ:
```
21
Lattice="3.422 0.000 0.000 0.000 12.631 -7.304 0.000 -0.013 14.585" Properties=species:S:1:pos:R:3 pbc="T T T"
In 1.711 8.867 -3.489
In 1.711 3.273 10.221
In 0.000 0.979 7.944
In 1.711 5.181 1.346
In 1.711 7.199 6.617
In 0.000 9.995 5.127
In 0.000 3.183 -1.194
In 0.000 12.073 -3.953
In 0.000 5.253 4.175
In 1.711 2.123 5.024
In 0.000 6.369 9.752
In 1.711 11.204 2.117
Bi 0.000 4.198 7.289
Bi 0.000 2.307 1.908
Bi 1.711 11.107 -1.232
Bi 0.000 0.487 11.637
Bi 0.000 9.807 8.329
Bi 1.711 8.130 2.922
Bi 1.711 6.021 -1.723
Sn 0.000 8.422 -0.010
Sn 1.711 12.628 -7.301
```

Properties
total DFT energy (no corrections) = -66.784 eV for the cell shown

=====

Entry 4:
Material: V3RhW
Method: DFT, PBE
State: relaxed

Cell and atoms, written as extended XYZ:
```
5
Lattice="4.520 0.000 0.000 0.000 4.520 0.000 0.000 0.000 4.520" Properties=species:S:1:pos:R:3 pbc="T T T"
V 0.000 2.260 0.000
V 2.260 0.000 0.000
V 0.000 0.000 2.260
Rh 2.260 2.260 2.260
W 0.000 0.000 0.000
```

Properties
excess energy over the best structure of this formula in the dataset = 1457 meV per atom
total DFT energy (no corrections) = -40.240 eV for the cell shown

=====

Entry 5:
Material: CaFeMo2
Method: DFT, PBE
State: relaxed

Cell and atoms, written as extended XYZ:
```
4
Lattice="4.764 0.000 0.000 0.000 2.680 0.005 0.000 1.076 5.297" Properties=species:S:1:pos:R:3 pbc="T T T"
Mo 0.000 1.937 2.753
Mo 0.000 3.697 5.200
Fe 2.382 2.817 3.977
Ca 2.382 0.939 1.326
```

Properties
excess energy over the best structure of this formula in the dataset = 167 meV per atom
total DFT energy (no corrections) = -29.381 eV for the cell shown

=====

Entry 6:
Material: ErLuTl2
Method: DFT, PBE
State: relaxed

Cell and atoms, written as extended XYZ:
```
4
Lattice="-0.954 -1.993 -2.950 -1.645 -3.269 0.438 -9.421 2.534 -0.967" Properties=species:S:1:pos:R:3 pbc="T T T"
Lu 0.000 0.000 0.000
Tl -2.989 -0.690 -0.869
Tl -9.032 -2.037 -2.609
Er -6.010 -1.364 -1.739
```

Properties
total DFT energy (no corrections) = -14.759 eV for the cell shown

=====

Entry 7:
Material: Na2Hg2Pd5Pb
Method: DFT, PBE
State: relaxed

Cell and atoms, written as extended XYZ:
```
20
Lattice="4.145 0.000 0.000 0.000 9.797 0.000 0.000 0.000 9.797" Properties=species:S:1:pos:R:3 pbc="T T T"
Pd 2.072 9.171 1.931
Pd 2.072 1.931 0.626
Pd 2.072 5.524 6.829
Pd 2.072 7.866 9.171
Pd 2.072 4.273 2.968
Pd 2.072 2.968 5.524
Pd 2.072 6.829 4.273
Pd 2.072 0.000 4.898
Pd 2.072 0.626 7.866
Pd 2.072 4.898 0.000
Hg 0.000 3.625 1.274
Hg 0.000 1.274 6.172
Hg 0.000 6.172 8.523
Hg 0.000 8.523 3.625
Na 0.000 6.553 1.655
Na 0.000 3.244 8.142
Na 0.000 1.655 3.244
Na 0.000 8.142 6.553
Pb 0.000 4.898 4.898
Pb 0.000 0.000 0.000
```

Properties
total DFT energy (no corrections) = -69.697 eV for the cell shown

=====

Entry 8:
Material: Cd4AgPb
Method: DFT, PBE
State: relaxed

Cell and atoms, written as extended XYZ:
```
6
Lattice="0.314 -2.590 5.254 -2.928 2.249 4.558 -4.668 -2.816 2.165" Properties=species:S:1:pos:R:3 pbc="T T T"
Cd -2.570 -2.482 7.122
Cd -4.197 -0.053 6.773
Cd -5.070 -2.596 5.572
Cd -2.727 -1.182 4.485
Pb -5.462 -2.368 8.982
Ag 0.000 0.000 0.000
```

Properties
excess energy over the best structure of this formula in the dataset = 42 meV per atom
total DFT energy (no corrections) = -9.704 eV for the cell shown

=====

Entry 9:
Material: Pm2Dy4Th
Method: DFT, PBE
State: relaxed

Cell and atoms, written as extended XYZ:
```
7
Lattice="-1.613 1.092 3.030 -1.124 -3.000 -1.658 14.423 -9.268 11.015" Properties=species:S:1:pos:R:3 pbc="T T T"
Dy 10.788 -7.082 10.434
Dy 11.335 -10.243 11.864
Dy 5.911 -6.988 5.664
Dy 0.705 -4.117 4.000
Pm 3.870 -4.031 5.653
Pm 0.085 -0.938 2.524
Th 7.644 -7.142 8.783
```

Properties
excess energy over the best structure of this formula in the dataset = 0 meV per atom
total DFT energy (no corrections) = -35.139 eV for the cell shown

=====

Entry 10:
Material: V4CrRh
Method: DFT, PBE
State: relaxed

Cell and atoms, written as extended XYZ:
```
6
Lattice="3.797 0.000 0.000 1.899 3.795 0.384 1.899 1.180 6.549" Properties=species:S:1:pos:R:3 pbc="T T T"
Cr 0.000 0.000 0.000
V 1.899 1.075 4.267
V 3.797 2.463 6.006
V 3.797 2.512 0.927
V 5.696 3.900 2.666
Rh 3.797 2.487 3.467
```

Properties
excess energy over the best structure of this formula in the dataset = 638 meV per atom
total DFT energy (no corrections) = -50.922 eV for the cell shown

=====

Entry 11:
Material: Ga2Cu7Au2
Method: DFT, PBE
State: relaxed

Cell and atoms, written as extended XYZ:
```
11
Lattice="-2.758 -1.181 -4.186 -0.528 -6.322 2.130 -4.350 1.200 2.482" Properties=species:S:1:pos:R:3 pbc="T T T"
Au -6.063 -3.145 -0.325
Au -1.574 -3.158 0.751
Cu -1.501 -2.018 -1.614
Cu 0.000 0.000 0.000
Cu -5.049 -2.008 -2.465
Cu -2.587 -4.294 2.891
Cu -3.722 -1.992 -0.177
Cu -3.915 -4.311 0.603
Cu -6.135 -4.285 2.041
Ga -3.808 -6.722 0.131
Ga -3.828 0.419 0.295
```

Properties
excess energy over the best structure of this formula in the dataset = 269 meV per atom
total DFT energy (no corrections) = -39.033 eV for the cell shown

=====

Entry 12:
Material: ZrTa2CuSn
Method: DFT, PBE
State: relaxed

Cell and atoms, written as extended XYZ:
```
5
Lattice="4.673 0.000 0.000 0.000 4.882 0.000 0.000 0.000 4.673" Properties=species:S:1:pos:R:3 pbc="T T T"
Sn 2.336 2.441 2.336
Zr 0.000 2.441 0.000
Ta 0.000 0.000 2.336
Ta 2.336 0.000 0.000
Cu 0.000 0.000 0.000
```

Properties
total DFT energy (no corrections) = -36.971 eV for the cell shown